Record 1
Computed, not measured: crystalline AgSN3 at its relaxed geometry at the GGA-PBE level of DFT. Values from VASP.

Geometry as Quantum ESPRESSO input:
```
&SYSTEM
  ibrav = 0, nat = 5, ntyp = 3
/
ATOMIC_SPECIES
Ag 107.87 Ag.upf
S 32.06 S.upf
N 14.01 N.upf
ATOMIC_POSITIONS angstrom
Ag 0.0000 0.0000 0.0000
S 1.8195 1.8195 1.8195
N 0.0000 1.8195 1.8195
N 1.8195 0.0000 1.8195
N 1.8195 1.8195 0.0000
CELL_PARAMETERS angstrom
3.6389 0.0000 0.0000
0.0000 3.6389 0.0000
0.0000 0.0000 3.6389
```

Properties
Raw total energy ... -4.304 eV/atom
Raw formation energy ... 2.087 eV per atom
Symmetry ... Pm-3m, No. 221

Record 2
Computed, not measured: crystalline AgSb2SN at its relaxed geometry at the GGA-PBE level of DFT. Values from VASP.

Geometry as Quantum ESPRESSO input:
```
&SYSTEM
  ibrav = 0, nat = 5, ntyp = 4
/
ATOMIC_SPECIES
Ag 107.87 Ag.upf
Sb 121.76 Sb.upf
S 32.06 S.upf
N 14.01 N.upf
ATOMIC_POSITIONS angstrom
Ag 0.0000 0.0000 0.0000
Sb 0.0000 2.4377 2.1196
Sb 2.4377 0.0000 2.1196
S 2.4377 2.4377 0.0000
N 0.0000 0.0000 2.1196
CELL_PARAMETERS angstrom
4.8755 0.0000 0.0000
0.0000 4.8755 0.0000
0.0000 0.0000 4.2392
```

Properties
Raw total energy ... -4.050 eV/atom
Raw formation energy ... 0.660 eV per atom
Symmetry ... P4/mmm, No. 123

Record 3
Computed, not measured: crystalline AgSbS2N at its relaxed geometry at the GGA-PBE level of DFT. Values from VASP.

Geometry as Quantum ESPRESSO input:
```
&SYSTEM
  ibrav = 0, nat = 5, ntyp = 4
/
ATOMIC_SPECIES
Ag 107.87 Ag.upf
Sb 121.76 Sb.upf
S 32.06 S.upf
N 14.01 N.upf
ATOMIC_POSITIONS angstrom
Ag 0.0000 0.0000 0.0000
Sb 2.4968 2.4968 1.9818
S 0.0000 2.4968 0.0000
S 2.4968 0.0000 0.0000
N 0.0000 0.0000 1.9818
CELL_PARAMETERS angstrom
4.9935 0.0000 0.0000
0.0000 4.9935 0.0000
0.0000 0.0000 3.9636
```

Properties
Raw total energy ... -3.651 eV/atom
Raw formation energy ... 1.060 eV per atom
Symmetry ... P4/mmm, No. 123
E above lowest polymorph ... 165 meV per atom

Record 4
Computed, not measured: crystalline AgSbS2N at its relaxed geometry at the GGA-PBE level of DFT. Values from VASP.

Geometry as Quantum ESPRESSO input:
```
&SYSTEM
  ibrav = 0, nat = 5, ntyp = 4
/
ATOMIC_SPECIES
Ag 107.87 Ag.upf
Sb 121.76 Sb.upf
S 32.06 S.upf
N 14.01 N.upf
ATOMIC_POSITIONS angstrom
Ag 0.0000 0.0000 0.0000
Sb 2.5461 2.5461 1.9742
S 0.0000 2.5461 1.9742
S 2.5461 0.0000 1.9742
N 2.5461 2.5461 0.0000
CELL_PARAMETERS angstrom
5.0922 0.0000 0.0000
0.0000 5.0922 0.0000
0.0000 0.0000 3.9484
```

Properties
Raw total energy ... -3.816 eV/atom
Raw formation energy ... 0.894 eV per atom
Symmetry ... P4/mmm, No. 123
E above lowest polymorph ... 0 meV per atom

Record 5
Computed, not measured: crystalline ScAgSN2 at its relaxed geometry at the GGA-PBE level of DFT. Values from VASP.

Geometry as Quantum ESPRESSO input:
```
&SYSTEM
  ibrav = 0, nat = 5, ntyp = 4
/
ATOMIC_SPECIES
Sc 44.96 Sc.upf
Ag 107.87 Ag.upf
S 32.06 S.upf
N 14.01 N.upf
ATOMIC_POSITIONS angstrom
Sc 0.0000 0.0000 0.0000
Ag 2.0181 2.0181 2.4290
S 2.0181 2.0181 0.0000
N 0.0000 2.0181 2.4290
N 2.0181 0.0000 2.4290
CELL_PARAMETERS angstrom
4.0362 0.0000 0.0000
0.0000 4.0362 0.0000
0.0000 0.0000 4.8579
```

Properties
Raw total energy ... -4.940 eV/atom
Raw formation energy ... 1.052 eV per atom
Symmetry ... P4/mmm, No. 123
E above lowest polymorph ... 378 meV per atom

Record 6
Computed, not measured: crystalline ScAgSN2 at its relaxed geometry at the GGA-PBE level of DFT. Values from VASP.

Geometry as Quantum ESPRESSO input:
```
&SYSTEM
  ibrav = 0, nat = 5, ntyp = 4
/
ATOMIC_SPECIES
Sc 44.96 Sc.upf
Ag 107.87 Ag.upf
S 32.06 S.upf
N 14.01 N.upf
ATOMIC_POSITIONS angstrom
Sc 0.0000 0.0000 0.0000
Ag 2.1085 2.1085 2.5763
S 0.0000 0.0000 2.5763
N 0.0000 2.1085 0.0000
N 2.1085 0.0000 0.0000
CELL_PARAMETERS angstrom
4.2170 0.0000 0.0000
0.0000 4.2170 0.0000
0.0000 0.0000 5.1526
```

Properties
Raw total energy ... -5.317 eV/atom
Raw formation energy ... 0.675 eV per atom
Symmetry ... P4/mmm, No. 123
E above lowest polymorph ... 0 meV per atom